1.
Below is a relaxed structure of La6FeOs2I3, with properties calculated at the PBE-GGA level.

a b c (Å): 7.309 7.309 8.552
angles (deg): 98.19 98.19 120.00
Fractional positions:
La  0.061  0.391  0.183
La  0.731  0.731  0.183
La  0.269  0.269  0.817
La  0.609  0.939  0.817
La  0.939  0.609  0.817
La  0.391  0.061  0.183
I  0.500  0.500  0.500
I  0.168  0.832  0.500
I  0.832  0.168  0.500
Fe  0.000  0.000  0.000
Os  0.667  0.333  0.000
Os  0.333  0.667  0.000

* E_tot: -6.01 eV per atom
* calculated volume: 31.6 Å³/atom
* formation energy (no corrections): -0.579 eV/atom
* D(E_F): 1.09 states/eV per atom

2.
Below is a relaxed structure of La2Hg, with properties calculated at the PBE-GGA level.

a b c (Å): 8.503 8.503 4.717
angles (deg): 90.00 90.00 120.00
Fractional positions:
La  0.272  0.000  0.000
La  0.000  0.601  0.500
La  0.601  0.000  0.500
La  0.000  0.272  0.000
La  0.399  0.399  0.500
La  0.728  0.728  0.000
Hg  0.667  0.333  0.000
Hg  0.333  0.667  0.000
Hg  0.000  0.000  0.500

* DFT formation energy: -0.31 eV/atom
* E_tot: -3.69 eV per atom
* calculated volume: 32.8 Å³/atom
* D(E_F): 1.45 states/eV per atom

3.
Below is a relaxed structure of LaDy2HfN4, with properties calculated at the PBE-GGA level.

a b c (Å): 3.449 6.069 5.961
angles (deg): 109.18 90.00 90.00
Fractional positions:
N  0.000  0.223  0.754
N  0.500  0.227  0.237
N  0.000  0.777  0.246
N  0.500  0.773  0.763
Dy  0.500  0.000  0.500
Dy  0.000  0.500  0.500
La  0.500  0.500  0.000
Hf  0.000  0.000  0.000

* E_tot: -8.75 eV per atom
* calculated volume: 14.7 Å³/atom
* formation energy (no corrections): -1.575 eV/atom
* D(E_F): 0.16 states/eV per atom

4.
Below is a relaxed structure of SmUN, with properties calculated at the PBE-GGA level.

a b c (Å): 6.305 3.392 3.392
angles (deg): 120.00 90.00 90.00
Fractional positions:
U  0.111  0.000  0.000
Sm  0.567  0.667  0.333
N  0.322  0.333  0.667

* E_tot: -8.72 eV per atom
* energy above the most stable polymorph in this dataset: 0 meV/atom
* calculated volume: 20.9 Å³/atom
* formation energy (no corrections): -0.606 eV/atom
* D(E_F): 1.71 states/eV per atom

5.
Below is a relaxed structure of Re2RhPb, with properties calculated at the PBE-GGA level.

a b c (Å): 5.030 3.036 4.639
angles (deg): 86.60 90.00 90.00
Fractional positions:
Re  0.000  0.306  0.780
Re  0.000  0.694  0.220
Pb  0.500  0.500  0.500
Rh  0.500  0.000  0.000

* DFT formation energy: 0.72 eV/atom
* E_tot: -8.27 eV per atom
* calculated volume: 17.7 Å³/atom
* D(E_F): 1.37 states/eV per atom

6.
Below is a relaxed structure of Li2TmSnO4, with properties calculated at the PBE-GGA level.

a b c (Å): 4.444 4.445 5.885
angles (deg): 112.19 112.19 90.00
Fractional positions:
O  0.514  0.014  0.029
O  0.270  0.270  0.539
O  0.730  0.730  0.461
O  0.986  0.486  0.971
Tm  0.500  0.500  0.000
Li  0.000  0.000  0.000
Li  0.250  0.750  0.500
Sn  0.750  0.250  0.500

* E_tot: -6.25 eV per atom
* calculated volume: 12.3 Å³/atom
* formation energy (no corrections): -2.237 eV/atom
* D(E_F): 0.18 states/eV per atom

7.
Below is a relaxed structure of HfNpNb, with properties calculated at the PBE-GGA level.

a b c (Å): 2.829 2.872 9.045
angles (deg): 118.42 99.00 90.00
Fractional positions:
Nb  0.498  0.660  0.996
Np  0.838  0.682  0.677
Hf  0.664  0.658  0.328

* DFT formation energy: 0.59 eV/atom
* E_tot: -10.39 eV per atom
* energy above the most stable polymorph in this dataset: 239 meV/atom
* calculated volume: 21.2 Å³/atom
* D(E_F): 2.19 states/eV per atom

8.
Below is a relaxed structure of TbY2Au6, with properties calculated at the PBE-GGA level.

a b c (Å): 5.299 5.268 8.515
angles (deg): 71.98 80.98 59.55
Fractional positions:
Au  0.167  0.503  0.832
Au  0.167  0.834  0.168
Au  0.328  0.330  0.500
Au  0.833  0.497  0.168
Au  0.833  0.166  0.832
Au  0.672  0.670  0.500
Y  0.500  0.835  0.831
Y  0.500  0.165  0.169
Tb  0.000  0.000  0.500

* DFT formation energy: -0.79 eV/atom
* E_tot: -4.93 eV per atom
* calculated volume: 21.7 Å³/atom
* D(E_F): 0.53 states/eV per atom

9.
Below is a relaxed structure of Th3PdSe6, with properties calculated at the PBE-GGA level.

a b c (Å): 8.414 8.414 8.414
angles (deg): 100.64 100.64 100.64
Fractional positions:
Se  0.432  0.176  0.570
Se  0.059  0.939  0.688
Se  0.061  0.312  0.941
Se  0.941  0.061  0.312
Se  0.939  0.688  0.059
Se  0.824  0.430  0.568
Se  0.688  0.059  0.939
Se  0.176  0.570  0.432
Se  0.568  0.824  0.430
Se  0.570  0.432  0.176
Se  0.430  0.568  0.824
Se  0.312  0.941  0.061
Th  0.288  0.617  0.131
Th  0.712  0.383  0.869
Th  0.869  0.712  0.383
Th  0.383  0.869  0.712
Th  0.617  0.131  0.288
Th  0.131  0.288  0.617
Pd  0.000  0.000  0.000
Pd  0.500  0.500  0.500

* E_tot: -6.26 eV per atom
* energy above the most stable polymorph in this dataset: 107 meV/atom
* calculated volume: 28.0 Å³/atom
* formation energy (no corrections): -1.427 eV/atom
* D(E_F): 0.25 states/eV per atom

10.
Below is a relaxed structure of ErAl2H6, with properties calculated at the PBE-GGA level.

a b c (Å): 5.047 5.047 5.047
angles (deg): 60.00 60.00 60.00
Fractional positions:
Er  0.000  0.000  0.000
Al  0.250  0.250  0.250
Al  0.750  0.750  0.750
H  0.716  0.284  0.284
H  0.284  0.716  0.284
H  0.716  0.284  0.716
H  0.284  0.284  0.716
H  0.716  0.716  0.284
H  0.284  0.716  0.716

* E_tot: -3.13 eV per atom
* calculated volume: 10.1 Å³/atom
* D(E_F): 0.31 states/eV per atom

| no. | mass density (g/cm3) |
| --- | --- |
| 1 | 7.23 |
| 2 | 8.07 |
| 3 | 9.84 |
| 4 | 10.64 |
| 5 | 16.03 |
| 6 | 6.18 |
| 7 | 13.27 |
| 8 | 12.94 |
| 9 | 7.56 |
| 10 | 4.15 |